1.
BaSr2Ca | SCAN | PBEsol geometry

Values from the calculation:
- Volume: 201 Å³/cell
- ΔH_f (0 K): 0.0278 eV/atom
- Distance to the lowest polymorph of the same formula: 0.006 eV/f.u.
- Uncorrected energy: -93.7 eV/cell

Geometry as CIF:
```
data_BaSr2Ca
_chemical_formula_sum 'Ba1 Sr2 Ca1'
_cell_length_a 4.730
_cell_length_b 4.730
_cell_length_c 8.985
_cell_angle_alpha 90.00
_cell_angle_beta 90.00
_cell_angle_gamma 90.00
_symmetry_space_group_name_H-M 'P 4/m m m'
_symmetry_Int_Tables_number 123
_symmetry_space_group_name_Hall '-P 4 2'
loop_
_atom_site_label
_atom_site_fract_x
_atom_site_fract_y
_atom_site_fract_z
_atom_site_occupancy
Ba1 0.000 0.000 0.000 1
Sr1 0.500 0.500 0.267 1
Ca1 0.000 0.000 0.500 1
```

2.
YAs2Ir | SCAN | PBEsol geometry

Values from the calculation:
- Volume: 83 Å³/cell
- ΔH_f (0 K): -0.7144 eV/atom
- Distance to the lowest polymorph of the same formula: 0.991 eV/f.u.
- Uncorrected energy: -142.2 eV/cell

Geometry as CIF:
```
data_YAs2Ir
_chemical_formula_sum 'Y1 As2 Ir1'
_cell_length_a 4.198
_cell_length_b 4.250
_cell_length_c 4.685
_cell_angle_alpha 90.00
_cell_angle_beta 98.78
_cell_angle_gamma 90.00
_symmetry_space_group_name_H-M 'P 1 m 1'
_symmetry_Int_Tables_number 6
loop_
_symmetry_equiv_pos_as_xyz
'x,y,z'
'x,-y,z'
loop_
_atom_site_label
_atom_site_fract_x
_atom_site_fract_y
_atom_site_fract_z
_atom_site_occupancy
Y1 0.000 0.000 0.000 1
As1 0.377 0.000 0.548 1
As2 0.661 0.500 0.309 1
Ir1 0.473 0.500 0.803 1
```

3.
HgPt2Se | SCAN | PBEsol geometry

Values from the calculation:
- Volume: 208 Å³/cell
- Uncorrected formation energy: 0.157 eV per atom
- Uncorrected energy: -684.0 eV/cell

Geometry as CIF:
```
data_HgPt2Se
_chemical_formula_sum 'Hg3 Pt6 Se3'
_cell_length_a 3.1476
_cell_length_b 3.1476
_cell_length_c 24.1949
_cell_angle_alpha 90.00
_cell_angle_beta 90.00
_cell_angle_gamma 120.00
_symmetry_space_group_name_H-M 'R -3 m'
_symmetry_Int_Tables_number 166
_symmetry_space_group_name_Hall '-R 3 2"'
loop_
_atom_site_label
_atom_site_fract_x
_atom_site_fract_y
_atom_site_fract_z
_atom_site_occupancy
Hg1 0.0000 0.0000 0.0000 1
Pt1 0.0000 0.0000 0.2440 1
Se1 0.0000 0.0000 0.5000 1
```

4.
SrCuS2N | SCAN | PBEsol geometry

Values from the calculation:
- Volume: 86 Å³/cell
- Uncorrected formation energy: -0.297 eV per atom
- Uncorrected energy: -67.5 eV/cell

Geometry as CIF:
```
data_SrCuS2N
_chemical_formula_sum 'Sr1 Cu1 S2 N1'
_cell_length_a 4.771
_cell_length_b 4.771
_cell_length_c 3.760
_cell_angle_alpha 90.00
_cell_angle_beta 90.00
_cell_angle_gamma 90.00
_symmetry_space_group_name_H-M 'P 4/m m m'
_symmetry_Int_Tables_number 123
_symmetry_space_group_name_Hall '-P 4 2'
loop_
_atom_site_label
_atom_site_fract_x
_atom_site_fract_y
_atom_site_fract_z
_atom_site_occupancy
Sr1 0.000 0.000 0.000 1
Cu1 0.500 0.500 0.500 1
S1 0.000 0.500 0.500 1
N1 0.500 0.500 0.000 1
```

5.
ErZnPt | SCAN | PBEsol geometry

Values from the calculation:
- Volume: 221 Å³/cell
- ΔH_f (0 K): -1.1714 eV/atom
- Uncorrected energy: -550.3 eV/cell

Geometry as CIF:
```
data_ErZnPt
_chemical_formula_sum 'Er4 Zn4 Pt4'
_cell_length_a 6.832
_cell_length_b 4.011
_cell_length_c 8.068
_cell_angle_alpha 90.00
_cell_angle_beta 90.00
_cell_angle_gamma 90.00
_symmetry_space_group_name_H-M 'P n m a'
_symmetry_Int_Tables_number 62
loop_
_symmetry_equiv_pos_as_xyz
'x,y,z'
'-x,-y,-z'
'-x+1/2,-y,z+1/2'
'x+1/2,y,-z+1/2'
'x+1/2,-y+1/2,-z+1/2'
'-x+1/2,y+1/2,z+1/2'
'-x,y+1/2,-z'
'x,-y+1/2,z'
loop_
_atom_site_label
_atom_site_fract_x
_atom_site_fract_y
_atom_site_fract_z
_atom_site_occupancy
Er1 0.046 0.250 0.185 1
Zn1 0.133 0.250 0.563 1
Pt1 0.248 0.250 0.877 1
```

6.
Pt2Pb | SCAN | PBEsol geometry

Values from the calculation:
- Volume: 251 Å³/cell
- ΔH_f (0 K): -0.1089 eV/atom
- Uncorrected energy: -866.0 eV/cell

Geometry as CIF:
```
data_Pt2Pb
_chemical_formula_sum 'Pt8 Pb4'
_cell_length_a 3.740
_cell_length_b 17.262
_cell_length_c 3.890
_cell_angle_alpha 90.00
_cell_angle_beta 90.00
_cell_angle_gamma 90.00
_symmetry_space_group_name_H-M 'C m c m'
_symmetry_Int_Tables_number 63
_symmetry_space_group_name_Hall '-C 2c 2'
loop_
_atom_site_label
_atom_site_fract_x
_atom_site_fract_y
_atom_site_fract_z
_atom_site_occupancy
Pt1 0.000 0.056 0.250 1
Pt2 0.000 0.436 0.250 1
Pb1 0.000 0.321 0.750 1
```

7.
MgAuO2 | SCAN | PBEsol geometry

Values from the calculation:
- Volume: 191 Å³/cell
- Uncorrected formation energy: -1.552 eV per atom
- Uncorrected energy: -371.2 eV/cell

Geometry as CIF:
```
data_MgAuO2
_chemical_formula_sum 'Mg4 Au4 O8'
_cell_length_a 5.649
_cell_length_b 11.147
_cell_length_c 3.036
_cell_angle_alpha 90.00
_cell_angle_beta 90.00
_cell_angle_gamma 90.00
_symmetry_space_group_name_H-M 'C m m m'
_symmetry_Int_Tables_number 65
_symmetry_space_group_name_Hall '-C 2 2'
loop_
_atom_site_label
_atom_site_fract_x
_atom_site_fract_y
_atom_site_fract_z
_atom_site_occupancy
Mg1 0.250 0.250 0.000 1
Au1 0.000 0.000 0.500 1
Au2 0.000 0.500 0.500 1
O1 0.000 0.118 0.000 1
O2 0.000 0.313 0.500 1
```

8.
Tb3GaCoS7 | SCAN | PBEsol geometry

Values from the calculation:
- Volume: 464 Å³/cell
- Uncorrected formation energy: -1.707 eV per atom
- Uncorrected energy: -523.6 eV/cell

Geometry as CIF:
```
data_Tb3GaCoS7
_chemical_formula_sum 'Tb6 Ga2 Co2 S14'
_cell_length_a 9.3915
_cell_length_b 9.3915
_cell_length_c 6.0716
_cell_angle_alpha 90.00
_cell_angle_beta 90.00
_cell_angle_gamma 120.00
_symmetry_space_group_name_H-M 'P 63'
_symmetry_Int_Tables_number 173
loop_
_symmetry_equiv_pos_as_xyz
'x,y,z'
'x-y,x,z+1/2'
'-y,x-y,z'
'-x,-y,z+1/2'
'-x+y,-x,z'
'y,-x+y,z+1/2'
loop_
_atom_site_label
_atom_site_fract_x
_atom_site_fract_y
_atom_site_fract_z
_atom_site_occupancy
Tb1 0.1624 0.7883 0.0000 1
Ga1 0.3333 0.6667 0.4245 1
Co1 0.0000 0.0000 0.3403 1
S1 0.0809 0.5222 0.2732 1
S2 0.0986 0.8757 0.5928 1
S3 0.3333 0.6667 0.7915 1
```